(1)
Below is a relaxed Er2Al3Cu12Au crystal, with properties calculated at the PBE level.

The size of the total moment comes out at 0.0000 μB/atom. The calculation puts the total DFT energy (no corrections) at -72.33 eV per formula unit. The mass density comes out at 7.94 g/cm3. The value obtained for the calculated volume is 862.9 Å³ per cell.

The space group is R-3m (No. 166, hexagonal axes) and the conventional cell measures 5.2852, 5.2852 and 35.6707 Å, with angles of 90.00, 90.00 and 120.00 degrees. The distinct sites, in fractional coordinates, are Er at (0.0000, 0.0000, 0.1420), Al at (0.0000, 0.5000, 0.0000), Cu at (0.0062, 0.5031, 0.8913), Cu at (0.0188, 0.5094, 0.6113) and Au at (0.0000, 0.0000, 0.5000).

(2)
Below is a relaxed Er2Al4Cu3Au crystal, with properties calculated at the PBE level.

The size of the total moment comes out at 0.0000 μB/atom. The calculation puts the total DFT energy (no corrections) at -44.37 eV per formula unit. The mass density comes out at 7.77 g/cm3. The value obtained for the calculated volume is 177.3 Å³ per cell.

The space group is P-4m2 (No. 115) and the conventional cell measures 4.139, 4.139 and 10.352 Å, with angles of 90.00, 90.00 and 90.00 degrees. The distinct sites, in fractional coordinates, are Er at (0.000, 0.500, 0.245), Al at (0.000, 0.000, 0.000), Al at (0.000, 0.500, 0.640), Al at (0.500, 0.500, 0.000), Cu at (0.000, 0.500, 0.869), Cu at (0.500, 0.500, 0.500) and Au at (0.000, 0.000, 0.500).

(3)
Below is a relaxed Er2Al3CuAu4 crystal, with properties calculated at the PBE level.

The size of the total moment comes out at 0.0000 μB/atom. The calculation puts the total DFT energy (no corrections) at -43.40 eV per formula unit. The mass density comes out at 10.78 g/cm3. The value obtained for the calculated volume is 195.2 Å³ per cell.

The space group is P-4m2 (No. 115) and the conventional cell measures 4.243, 4.243 and 10.843 Å, with angles of 90.00, 90.00 and 90.00 degrees. The distinct sites, in fractional coordinates, are Er at (0.000, 0.500, 0.244), Al at (0.000, 0.000, 0.000), Al at (0.000, 0.500, 0.633), Cu at (0.500, 0.500, 0.000), Au at (0.000, 0.000, 0.500), Au at (0.000, 0.500, 0.859) and Au at (0.500, 0.500, 0.500).

(4)
Below is a relaxed Er2Al4CuAu3 crystal, with properties calculated at the PBE level.

The size of the total moment comes out at 0.0000 μB/atom. The calculation puts the total DFT energy (no corrections) at -44.28 eV per formula unit. The mass density comes out at 9.54 g/cm3. The value obtained for the calculated volume is 190.9 Å³ per cell.

The space group is P-4m2 (No. 115) and the conventional cell measures 4.236, 4.236 and 10.639 Å, with angles of 90.00, 90.00 and 90.00 degrees. The distinct sites, in fractional coordinates, are Er at (0.000, 0.500, 0.243), Al at (0.000, 0.000, 0.500), Al at (0.000, 0.500, 0.872), Al at (0.500, 0.500, 0.500), Cu at (0.500, 0.500, 0.000), Au at (0.000, 0.000, 0.000) and Au at (0.000, 0.500, 0.639).

(5)
Below is a relaxed Al2CuAuF crystal, with properties calculated at the PBE level.

The size of the total moment comes out at 0.0000 μB/atom. Its formation energy from raw total energies is -81 meV/atom. The calculation puts the total DFT energy (no corrections) at -17.14 eV per formula unit. The mass density comes out at 4.98 g/cm3. The value obtained for the calculated volume is 111.3 Å³ per cell.

The space group is P4/mmm (No. 123) and the conventional cell measures 4.813, 4.813 and 4.804 Å, with angles of 90.00, 90.00 and 90.00 degrees. The distinct sites, in fractional coordinates, are Al at (0.000, 0.500, 0.000), Cu at (0.000, 0.000, 0.500), Au at (0.000, 0.000, 0.000) and F at (0.500, 0.500, 0.500).

(6)
Below is a relaxed AlFeCuAu crystal, with properties calculated at the PBE level.

The size of the total moment comes out at 0.5887 μB/atom. The calculation puts the total DFT energy (no corrections) at -19.86 eV per formula unit. The mass density comes out at 10.16 g/cm3. The value obtained for the calculated volume is 224.6 Å³ per cell.

The space group is F-43m (No. 216) and the conventional cell measures 6.078, 6.078 and 6.078 Å, with angles of 90.00, 90.00 and 90.00 degrees. The distinct sites, in fractional coordinates, are Al at (0.000, 0.000, 0.000), Fe at (0.250, 0.250, 0.750), Cu at (0.000, 0.000, 0.500) and Au at (0.250, 0.250, 0.250).

(7)
Below is a relaxed Al2Cu7Ge2Au crystal, with properties calculated at the PBE level.

The size of the total moment comes out at 0.0000 μB/atom. The calculation puts the total DFT energy (no corrections) at -48.66 eV per formula unit. The mass density comes out at 8.12 g/cm3. The value obtained for the calculated volume is 344.0 Å³ per cell.

The space group is C2/m (No. 12) and the conventional cell measures 5.346, 5.589 and 11.513 Å, with angles of 90.00, 90.26 and 90.00 degrees. The distinct sites, in fractional coordinates, are Al at (0.000, 0.000, 0.186), Cu at (0.000, 0.000, 0.500), Cu at (0.246, 0.000, 0.000), Cu at (0.249, 0.250, 0.663), Ge at (0.000, 0.500, 0.184) and Au at (0.000, 0.500, 0.500).

(8)
Below is a relaxed AlCuGe2Au crystal, with properties calculated at the PBE level.

The size of the total moment comes out at 0.0000 μB/atom. The calculation puts the total DFT energy (no corrections) at -17.06 eV per formula unit. The mass density comes out at 6.72 g/cm3. The value obtained for the calculated volume is 107.0 Å³ per cell.

The space group is P4/mmm (No. 123) and the conventional cell measures 4.866, 4.866 and 4.519 Å, with angles of 90.00, 90.00 and 90.00 degrees. The distinct sites, in fractional coordinates, are Al at (0.000, 0.000, 0.000), Cu at (0.000, 0.000, 0.500), Ge at (0.000, 0.500, 0.000) and Au at (0.500, 0.500, 0.500).